1.
The following is a DFT calculation (GGA-PBE) of a relaxed structure of Nd4SiRh4.

Cell: 8.5186 8.5186 5.7031 Å, 90.00 90.00 90.00°
Element x y z (fractional)
Nd (0.0344, 0.8119, 0.1080)
Nd (0.1881, 0.5344, 0.6080)
Nd (0.3119, 0.9656, 0.6080)
Nd (0.4656, 0.6881, 0.1080)
Nd (0.5344, 0.3119, 0.8920)
Nd (0.6881, 0.0344, 0.3920)
Nd (0.8119, 0.4656, 0.3920)
Nd (0.9656, 0.1881, 0.8920)
Si (0.2500, 0.2500, 0.2500)
Si (0.7500, 0.7500, 0.7500)
Rh (0.0198, 0.1463, 0.3964)
Rh (0.1463, 0.4802, 0.1036)
Rh (0.3537, 0.0198, 0.1036)
Rh (0.4802, 0.3537, 0.3964)
Rh (0.5198, 0.6463, 0.6036)
Rh (0.6463, 0.9802, 0.8964)
Rh (0.8537, 0.5198, 0.8964)
Rh (0.9802, 0.8537, 0.6036)

- V (A^3/atom) = 23.0
- ρ (Mg/m³) = 8.159
- raw formation energy (eV per atom) = -0.706

2.
The following is a DFT calculation (GGA-PBE) of a relaxed structure of KBeIn2Ag.

Cell: 5.4511 5.4511 4.7411 Å, 90.00 90.00 90.00°
Element x y z (fractional)
K (0.0000, 0.0000, 0.0000)
Be (0.5000, 0.5000, 0.0000)
In (0.0000, 0.5000, 0.5000)
In (0.5000, 0.0000, 0.5000)
Ag (0.5000, 0.5000, 0.5000)

- V (A^3/atom) = 28.2
- ρ (Mg/m³) = 4.545
- DFT formation energy (eV per atom) = 0.3757

3.
The following is a DFT calculation (GGA-PBE) of a relaxed structure of AlSi2Ir.

Cell: 4.4943 4.4943 2.9197 Å, 90.00 90.00 108.92°
Element x y z (fractional)
Al (0.0000, 0.0000, 0.0000)
Si (0.0000, 0.5000, 0.5000)
Si (0.5000, 0.0000, 0.5000)
Ir (0.5000, 0.5000, 0.0000)

- V (A^3/atom) = 13.9
- E above lowest polymorph (meV/atom) = 96.6
- ρ (Mg/m³) = 8.197
- raw formation energy (eV per atom) = -0.105

4.
The following is a DFT calculation (GGA-PBE) of a relaxed structure of AsPRhAu2.

Cell: 7.3352 7.3352 7.3352 Å, 31.27 31.27 31.27°
Element x y z (fractional)
As (0.0000, 0.0000, 0.0000)
P (0.7947, 0.7947, 0.7947)
Rh (0.1155, 0.1155, 0.1155)
Au (0.2775, 0.2775, 0.2775)
Au (0.5321, 0.5321, 0.5321)

- V (A^3/atom) = 18.9
- E above lowest polymorph (meV/atom) = 25.0
- ρ (Mg/m³) = 10.604
- DFT formation energy (eV per atom) = -0.1018

5.
The following is a DFT calculation (GGA-PBE) of a relaxed structure of SmEr2Rh.

Cell: 9.2804 9.2804 9.2804 Å, 23.94 23.94 23.94°
Element x y z (fractional)
Sm (0.0000, 0.0000, 0.0000)
Er (0.2270, 0.2270, 0.2270)
Er (0.4438, 0.4438, 0.4438)
Rh (0.8354, 0.8354, 0.8354)

- V (A^3/atom) = 28.9
- E above lowest polymorph (meV/atom) = 157.8
- ρ (Mg/m³) = 8.444
- DFT formation energy (eV per atom) = -0.3669

6.
The following is a DFT calculation (GGA-PBE) of a relaxed structure of DyI3O9.

Cell: 7.2243 8.6497 13.5242 Å, 90.00 99.41 90.00°
Element x y z (fractional)
Dy (0.1686, 0.2373, 0.1443)
Dy (0.1686, 0.2627, 0.6443)
Dy (0.8314, 0.7373, 0.3557)
Dy (0.8314, 0.7627, 0.8557)
I (0.1663, 0.6967, 0.1107)
I (0.1663, 0.8033, 0.6107)
I (0.2602, 0.0318, 0.8864)
I (0.2602, 0.4682, 0.3864)
I (0.3346, 0.5527, 0.8532)
I (0.3346, 0.9473, 0.3532)
I (0.6654, 0.0527, 0.6468)
I (0.6654, 0.4473, 0.1468)
I (0.7398, 0.5318, 0.6136)
I (0.7398, 0.9682, 0.1136)
I (0.8337, 0.1967, 0.3893)
I (0.8337, 0.3033, 0.8893)
O (0.0152, 0.5203, 0.3860)
O (0.0152, 0.9797, 0.8860)
O (0.0261, 0.1679, 0.4933)
O (0.0261, 0.3321, 0.9933)
O (0.1467, 0.5160, 0.1794)
O (0.1467, 0.9840, 0.6794)
O (0.1555, 0.7045, 0.8226)
O (0.1555, 0.7955, 0.3226)
O (0.2151, 0.2197, 0.8216)
O (0.2151, 0.2803, 0.3216)
O (0.3179, 0.0884, 0.0172)
O (0.3179, 0.4116, 0.5172)
O (0.3383, 0.0246, 0.2273)
O (0.3383, 0.4754, 0.7273)
O (0.3682, 0.6552, 0.0492)
O (0.3682, 0.8448, 0.5492)
O (0.4653, 0.1796, 0.6436)
O (0.4653, 0.3204, 0.1436)
O (0.5347, 0.6796, 0.8564)
O (0.5347, 0.8204, 0.3564)
O (0.6318, 0.1552, 0.4508)
O (0.6318, 0.3448, 0.9508)
O (0.6617, 0.5246, 0.2727)
O (0.6617, 0.9754, 0.7727)
O (0.6821, 0.5884, 0.4828)
O (0.6821, 0.9116, 0.9828)
O (0.7849, 0.7197, 0.6784)
O (0.7849, 0.7803, 0.1784)
O (0.8445, 0.2045, 0.6774)
O (0.8445, 0.2955, 0.1774)
O (0.8533, 0.0160, 0.3206)
O (0.8533, 0.4840, 0.8206)
O (0.9739, 0.6679, 0.0067)
O (0.9739, 0.8321, 0.5067)
O (0.9848, 0.0203, 0.1140)
O (0.9848, 0.4797, 0.6140)

- V (A^3/atom) = 16.0
- ρ (Mg/m³) = 5.475
- raw formation energy (eV per atom) = -0.985